VASP calculation (PBE-GGA) on an optimized crystal structure of NaTl2InAu2.

Values from the calculation:
Volume: 25.33 A^3/atom
SG: Pmc2_1 (26)
Formation energy: -0.19 eV/atom
Theoretical density: 10.27 g/cm3

The structure in POSCAR format:
```
NaTl2InAu2
1.0
4.7820 0.0000 0.0000
0.0000 8.6367 0.0000
0.0000 0.0000 7.3609
Na Tl In Au
2 4 2 4
direct
0.0000 0.0550 0.0000
0.0000 0.9450 0.5000
0.0000 0.3288 0.3460
0.0000 0.6712 0.8460
0.5000 0.4167 0.0260
0.5000 0.5833 0.5260
0.5000 0.1816 0.6651
0.5000 0.8184 0.1651
0.0000 0.3354 0.7592
0.0000 0.6646 0.2592
0.5000 0.1244 0.2850
0.5000 0.8756 0.7850
```

---

VASP calculation (PBE-GGA) on an optimized crystal structure of NaTlInAu.

Values from the calculation:
Volume: 23.88 A^3/atom
SG: F-43m (216)
Formation energy: -0.14 eV/atom
Theoretical density: 9.37 g/cm3

The structure in POSCAR format:
```
NaTlInAu
1.0
0.0000 3.6279 3.6279
3.6279 0.0000 3.6279
3.6279 3.6279 0.0000
Na Tl In Au
1 1 1 1
direct
0.0000 0.0000 0.0000
0.2500 0.2500 0.2500
0.5000 0.5000 0.5000
0.7500 0.7500 0.7500
```

---

VASP calculation (PBE-GGA) on an optimized crystal structure of NaTlIn2Au.

Values from the calculation:
Volume: 31.08 A^3/atom
SG: P4/mmm (123)
Formation energy: -0.04 eV/atom
Theoretical density: 6.99 g/cm3

The structure in POSCAR format:
```
NaTlIn2Au
1.0
5.3081 0.0000 0.0000
0.0000 5.3081 0.0000
0.0000 0.0000 5.5148
Na Tl In Au
1 1 2 1
direct
0.0000 0.0000 0.0000
0.5000 0.5000 0.0000
0.0000 0.5000 0.5000
0.5000 0.0000 0.5000
0.0000 0.0000 0.5000
```

---

VASP calculation (PBE-GGA) on an optimized crystal structure of NaTmInAu.

Values from the calculation:
Volume: 23.11 A^3/atom
SG: F-43m (216)
Formation energy: -0.36 eV/atom
Theoretical density: 9.05 g/cm3

The structure in POSCAR format:
```
NaTmInAu
1.0
0.0000 3.5889 3.5889
3.5889 0.0000 3.5889
3.5889 3.5889 0.0000
Na Tm In Au
1 1 1 1
direct
0.0000 0.0000 0.0000
0.5000 0.5000 0.5000
0.2500 0.2500 0.2500
0.7500 0.7500 0.7500
```

---

VASP calculation (PBE-GGA) on an optimized crystal structure of NaY2InAu4.

Values from the calculation:
Volume: 21.74 A^3/atom
SG: R-3m (166)
Formation energy: -0.66 eV/atom
Theoretical density: 10.54 g/cm3

The structure in POSCAR format:
```
NaY2InAu4
1.0
2.4801 1.4319 8.1626
-2.4801 1.4319 8.1626
0.0000 -2.8638 8.1626
Na Y In Au
1 2 1 4
direct
0.0000 0.0000 0.0000
0.2481 0.2481 0.2481
0.7519 0.7519 0.7519
0.5000 0.5000 0.5000
0.1243 0.1243 0.1243
0.3731 0.3731 0.3731
0.6269 0.6269 0.6269
0.8757 0.8757 0.8757
```

---

VASP calculation (PBE-GGA) on an optimized crystal structure of NaZnIn2Au4.

Values from the calculation:
Volume: 19.50 A^3/atom
SG: R-3m (166)
Formation energy: -0.21 eV/atom
Theoretical density: 11.77 g/cm3

The structure in POSCAR format:
```
NaZnIn2Au4
1.0
2.3885 1.3790 7.8917
-2.3885 1.3790 7.8917
0.0000 -2.7580 7.8917
Na Zn In Au
1 1 2 4
direct
0.0000 0.0000 0.0000
0.5000 0.5000 0.5000
0.2571 0.2571 0.2571
0.7429 0.7429 0.7429
0.1332 0.1332 0.1332
0.3879 0.3879 0.3879
0.6121 0.6121 0.6121
0.8668 0.8668 0.8668
```

---

VASP calculation (PBE-GGA) on an optimized crystal structure of NaZn2InAu4.

Values from the calculation:
Volume: 18.30 A^3/atom
SG: R-3m (166)
Formation energy: -0.17 eV/atom
Theoretical density: 11.99 g/cm3

The structure in POSCAR format:
```
NaZn2InAu4
1.0
2.3172 1.3378 7.8690
-2.3172 1.3378 7.8690
0.0000 -2.6757 7.8690
Na Zn In Au
1 2 1 4
direct
0.0000 0.0000 0.0000
0.2602 0.2602 0.2602
0.7398 0.7398 0.7398
0.5000 0.5000 0.5000
0.1230 0.1230 0.1230
0.3795 0.3795 0.3795
0.6205 0.6205 0.6205
0.8770 0.8770 0.8770
```

---

VASP calculation (PBE-GGA) on an optimized crystal structure of NaZnInAu.

Values from the calculation:
Volume: 19.75 A^3/atom
SG: F-43m (216)
Formation energy: -0.15 eV/atom
Theoretical density: 8.41 g/cm3

The structure in POSCAR format:
```
NaZnInAu
1.0
0.0000 3.4054 3.4054
3.4054 0.0000 3.4054
3.4054 3.4054 0.0000
Na Zn In Au
1 1 1 1
direct
0.0000 0.0000 0.0000
0.2500 0.2500 0.2500
0.7500 0.7500 0.7500
0.5000 0.5000 0.5000
```